PBE TbEr3Ga8, optimized geometry; formation energy = -0.544 eV per atom
1.0
2.733 1.578 9.051
-2.733 1.578 9.051
0.000 -3.155 9.051
Tb Er Ga
1 3 8
Direct
0.000 0.000 0.000 Tb
0.124 0.124 0.124 Er
0.500 0.500 0.500 Er
0.624 0.624 0.624 Er
0.062 0.062 0.561 Ga
0.062 0.561 0.062 Ga
0.062 0.562 0.562 Ga
0.312 0.312 0.312 Ga
0.561 0.062 0.062 Ga
0.562 0.062 0.562 Ga
0.562 0.562 0.062 Ga
0.812 0.812 0.812 Ga

***

PBE Ti2Cu4Br, optimized geometry; formation energy (no corrections) = 6.995 eV per formula unit
1.0
-2.472 2.472 6.034
2.472 -2.472 6.034
2.472 2.472 -6.034
Ti Cu Br
2 4 1
Direct
0.090 0.090 0.000 Ti
0.910 0.910 0.000 Ti
0.000 0.500 0.500 Cu
0.294 0.294 0.000 Cu
0.500 0.000 0.500 Cu
0.706 0.706 0.000 Cu
0.500 0.500 0.000 Br

***

PBE HfTaHRh2, optimized geometry; polymorph energy (0 for the lowest one) = 6.0 meV/atom
1.0
4.073 0.000 0.000
0.000 4.073 0.000
0.000 0.000 4.105
Hf Ta H Rh
1 1 1 2
Direct
0.000 0.000 0.000 Hf
0.500 0.500 0.000 Ta
0.000 0.000 0.500 H
0.000 0.500 0.500 Rh
0.500 0.000 0.500 Rh

***

no.,mass density (g/cm3)
1,8.64
2,4.84
3,13.81